<1>
Material: ScCd2Au8
Method: DFT, PBE
State: optimized geometry

Cell and atoms, written as extended XYZ:
```
11
Lattice="-1.056 3.493 2.114 -5.112 1.006 -4.216 -2.200 -5.971 4.561" Properties=species:S:1:pos:R:3 pbc="T T T"
Sc -0.528 1.746 1.057
Cd -3.843 -0.235 2.674
Cd -4.525 -1.238 -0.215
Au -5.041 -2.885 2.248
Au -6.156 1.161 -0.788
Au -6.699 -0.511 1.704
Au -4.405 -1.853 5.068
Au -1.669 -0.962 0.755
Au -2.212 -2.634 3.246
Au -3.327 1.412 0.211
Au -3.963 0.381 -2.609
```

## Properties
The value obtained for the calculated density is 14.97 Mg/m³.


<2>
Material: ScCd2Au8
Method: DFT, PBE
State: optimized geometry

Cell and atoms, written as extended XYZ:
```
11
Lattice="-2.694 -0.347 -2.985 5.653 -1.155 -4.966 -2.252 -6.705 2.815" Properties=species:S:1:pos:R:3 pbc="T T T"
Sc -1.347 -0.173 -1.492
Cd 2.662 -3.255 -2.021
Cd 0.739 -4.605 -0.130
Au 1.117 -6.165 -5.742
Au -0.866 -7.557 -3.791
Au 0.938 -5.453 -2.937
Au -1.798 -5.614 -0.450
Au 2.505 -2.593 -4.686
Au -0.231 -2.754 -2.199
Au 1.573 -0.650 -1.344
Au -0.410 -2.042 0.607
```

## Properties
The value obtained for the calculated density is 13.87 Mg/m³.


Energy relative to the most stable one, in meV/atom: <1> 0; <2> 97


<1>
Material: Sc2CdAu3
Method: DFT, PBE
State: optimized geometry

Cell and atoms, written as extended XYZ:
```
6
Lattice="3.410 0.000 0.000 0.000 3.410 0.000 0.000 0.000 10.164" Properties=species:S:1:pos:R:3 pbc="T T T"
Sc 1.705 1.705 8.440
Sc 1.705 1.705 1.724
Cd 1.705 1.705 5.082
Au 0.000 0.000 0.000
Au 0.000 0.000 6.895
Au 0.000 0.000 3.269
```

## Properties
The value obtained for the calculated density is 11.15 Mg/m³.


<2>
Material: Sc2CdAu3
Method: DFT, PBE
State: optimized geometry

Cell and atoms, written as extended XYZ:
```
12
Lattice="-0.354 3.767 -2.944 0.665 -4.394 -1.799 -11.658 -1.535 -0.563" Properties=species:S:1:pos:R:3 pbc="T T T"
Sc -5.829 -0.767 -0.281
Sc -1.747 -1.946 -2.281
Sc -9.599 -0.215 -3.025
Sc 0.000 0.000 0.000
Cd -7.501 -2.704 -2.558
Cd -3.845 0.542 -2.747
Au -4.593 -2.321 -2.418
Au -0.783 0.946 -2.599
Au -8.839 -1.164 -0.427
Au -2.818 -0.371 -0.136
Au -10.563 -3.107 -2.706
Au -6.753 0.160 -2.888
```

## Properties
The value obtained for the calculated density is 11.24 Mg/m³.


Energy relative to the most stable one, in meV/atom: <1> 14; <2> 0


<1>
Material: Sc3Cd2Au
Method: DFT, PBE
State: optimized geometry

Cell and atoms, written as extended XYZ:
```
6
Lattice="3.483 0.000 0.000 0.000 3.483 0.000 0.000 0.000 10.533" Properties=species:S:1:pos:R:3 pbc="T T T"
Sc 0.000 0.000 0.000
Sc 0.000 0.000 6.896
Sc 0.000 0.000 3.637
Cd 1.741 1.741 8.758
Cd 1.741 1.741 1.774
Au 1.741 1.741 5.266
```

## Properties
The value obtained for the calculated density is 7.24 Mg/m³.


<2>
Material: Sc3Cd2Au
Method: DFT, PBE
State: optimized geometry

Cell and atoms, written as extended XYZ:
```
6
Lattice="4.925 0.000 0.000 -2.463 4.266 0.000 0.000 0.000 6.053" Properties=species:S:1:pos:R:3 pbc="T T T"
Sc 0.000 0.000 3.026
Sc 2.463 1.422 5.145
Sc 0.000 2.844 0.908
Cd 2.463 1.422 2.127
Cd 0.000 2.844 3.926
Au 0.000 0.000 0.000
```

## Properties
The value obtained for the calculated density is 7.27 Mg/m³.


Energy relative to the most stable one, in meV/atom: <1> 0; <2> 9


<1>
Material: Cd2Au2Se
Method: DFT, PBE
State: optimized geometry

Cell and atoms, written as extended XYZ:
```
10
Lattice="-2.927 -3.827 -5.547 3.816 -5.926 2.075 -2.974 -1.100 2.329" Properties=species:S:1:pos:R:3 pbc="T T T"
Au 2.230 -6.491 -0.219
Au -0.087 -7.080 -3.456
Au -1.341 -3.262 -3.253
Au 0.976 -2.673 -0.016
Se 0.000 0.000 0.000
Se 0.444 -4.876 -1.736
Cd 0.563 -5.077 1.645
Cd -0.216 -8.053 -0.756
Cd -2.649 -5.776 -2.788
Cd -1.869 -2.800 -0.387
```

## Properties
The value obtained for the calculated density is 10.91 Mg/m³.


<2>
Material: Cd2Au2Se
Method: DFT, PBE
State: optimized geometry

Cell and atoms, written as extended XYZ:
```
10
Lattice="-8.161 -0.198 2.651 -1.933 -5.435 -6.355 0.620 -2.256 1.741" Properties=species:S:1:pos:R:3 pbc="T T T"
Au -1.824 -4.497 -2.736
Au -6.423 -6.057 -3.118
Au -7.650 -3.392 0.772
Au -3.050 -1.832 1.154
Se 0.000 0.000 0.000
Se -5.047 -2.817 -1.852
Cd -4.164 -4.502 -4.351
Cd -7.986 -3.875 -2.177
Cd -5.930 -1.131 0.647
Cd -2.108 -1.758 -1.527
```

## Properties
The value obtained for the calculated density is 10.79 Mg/m³.


Energy relative to the most stable one, in meV/atom: <1> 0; <2> 32


<1>
Material: CdSiAu4
Method: DFT, PBE
State: optimized geometry

Cell and atoms, written as extended XYZ:
```
6
Lattice="-4.698 -1.695 2.371 -1.789 2.426 4.635 -4.483 3.233 -0.126" Properties=species:S:1:pos:R:3 pbc="T T T"
Cd -8.228 2.973 5.160
Si 0.000 0.000 0.000
Au -6.462 0.640 3.766
Au -6.355 3.102 2.518
Au -5.009 2.699 4.896
Au -4.115 1.487 2.581
```

## Properties
The value obtained for the calculated density is 12.90 Mg/m³.


<2>
Material: CdSiAu4
Method: DFT, PBE
State: optimized geometry

Cell and atoms, written as extended XYZ:
```
12
Lattice="4.626 0.000 -1.601 0.000 6.178 0.000 0.102 0.000 7.858" Properties=species:S:1:pos:R:3 pbc="T T T"
Cd 1.446 1.544 0.580
Cd 3.282 4.633 5.677
Si 1.456 1.545 4.066
Si 3.272 4.633 2.192
Au 3.511 1.544 2.751
Au 1.217 4.633 3.507
Au 3.402 1.545 5.783
Au 1.326 4.633 0.474
Au 3.915 0.042 0.316
Au 0.813 3.131 5.942
Au 3.915 3.047 0.316
Au 0.813 6.136 5.942
```

## Properties
The value obtained for the calculated density is 13.67 Mg/m³.


Energy relative to the most stable one, in meV/atom: <1> 261; <2> 0


<1>
Material: CdSiAu3
Method: DFT, PBE
State: optimized geometry

Cell and atoms, written as extended XYZ:
```
5
Lattice="4.799 0.000 0.000 0.000 4.799 0.000 0.000 0.000 4.799" Properties=species:S:1:pos:R:3 pbc="T T T"
Si 0.000 0.000 0.000
Au 0.000 2.400 0.000
Au 0.000 0.000 2.400
Au 2.400 0.000 0.000
Cd 2.400 2.400 2.400
```

## Properties
The value obtained for the calculated density is 10.99 Mg/m³.


<2>
Material: CdSiAu3
Method: DFT, PBE
State: optimized geometry

Cell and atoms, written as extended XYZ:
```
5
Lattice="-1.981 -4.703 0.369 4.385 -1.688 2.026 -1.741 1.101 4.684" Properties=species:S:1:pos:R:3 pbc="T T T"
Si 0.331 -2.645 3.540
Au 2.192 -0.844 1.013
Au -0.870 0.550 2.342
Au -0.991 -2.352 0.184
Cd 0.000 0.000 0.000
```

## Properties
The value obtained for the calculated density is 9.07 Mg/m³.


<3>
Material: CdSiAu3
Method: DFT, PBE
State: optimized geometry

Cell and atoms, written as extended XYZ:
```
20
Lattice="-0.855 5.164 -0.070 0.538 -0.001 -6.635 -10.807 -1.804 -1.112" Properties=species:S:1:pos:R:3 pbc="T T T"
Cd -2.378 3.734 -4.522
Cd -8.747 -0.375 -3.295
Cd -3.410 0.934 -2.745
Cd -7.714 2.425 -5.073
Si -4.388 -0.650 -6.133
Si -6.737 4.009 -1.684
Si -0.957 2.640 -1.097
Si -10.168 0.720 -6.720
Au -2.324 0.667 -6.281
Au -8.800 2.692 -1.536
Au -3.335 3.225 -0.975
Au -7.789 0.134 -6.842
Au -4.815 2.064 -5.854
Au -6.310 1.295 -1.964
Au -0.571 0.174 -1.380
Au -10.553 3.185 -6.437
Au -6.136 -0.041 -4.457
Au -4.989 3.400 -3.360
Au -10.299 1.931 -3.909
Au -0.826 1.428 -3.909
```

## Properties
The value obtained for the calculated density is 12.66 Mg/m³.


Energy relative to the most stable one, in meV/atom: <1> 199; <2> 1010; <3> 0